Entry 1:
This record from the Alexandria database describes a relaxed Ca2AlPt crystal. The functional is PBE-GGA.

Lattice parameters (Å, degrees): 3.422 3.468 8.410 90.00 90.00 90.00
Positions (direct):
1 Ca 0.000 0.000 0.936
2 Ca 0.500 0.500 0.321
3 Al 0.500 0.500 0.681
4 Pt 0.000 0.000 0.561

Computed properties:
Total DFT energy (no corrections) = -3.999 eV/atom
Formation enthalpy at 0 K = -0.552 eV per atom

---

Entry 2:
This record from the Alexandria database describes a relaxed CaAl2Pt crystal. The functional is PBE-GGA.

Lattice parameters (Å, degrees): 5.627 5.627 2.960 79.05 79.05 119.93
Positions (direct):
1 Ca 0.500 0.000 0.500
2 Al 0.000 0.000 0.000
3 Al 0.500 0.500 0.000
4 Pt 0.000 0.500 0.500

Computed properties:
Total DFT energy (no corrections) = -4.124 eV/atom
Formation enthalpy at 0 K = -0.242 eV per atom

---

Entry 3:
This record from the Alexandria database describes a relaxed RbCa2AlPt crystal. The functional is PBE-GGA.

Lattice parameters (Å, degrees): 5.743 5.743 4.959 90.00 90.00 90.00
Positions (direct):
1 Ca 0.000 0.500 0.000
2 Ca 0.500 0.000 0.000
3 Rb 0.500 0.500 0.500
4 Pt 0.000 0.000 0.000
5 Al 0.000 0.000 0.500

Computed properties:
Total DFT energy (no corrections) = -3.302 eV/atom
Formation enthalpy at 0 K = -0.352 eV per atom

---

What is the formula in the first record? Ca2AlPt

---

The highest formation enthalpy at 0 K belongs to which entry? CaAl2Pt

---

What did the third record say?
This record from the Alexandria database describes a relaxed RbCa2AlPt crystal. The functional is PBE-GGA.

Lattice parameters (Å, degrees): 5.743 5.743 4.959 90.00 90.00 90.00
Positions (direct):
1 Ca 0.000 0.500 0.000
2 Ca 0.500 0.000 0.000
3 Rb 0.500 0.500 0.500
4 Pt 0.000 0.000 0.000
5 Al 0.000 0.000 0.500

Computed properties:
Total DFT energy (no corrections) = -3.302 eV/atom
Formation enthalpy at 0 K = -0.352 eV per atom